(1)
NbFe3B | PBE-GGA | optimized geometry

The density of states at the Fermi level is 2.56 states/eV per cell.

The space group is Pm-3m (No. 221) and the conventional cell measures 3.8169, 3.8169 and 3.8169 Å, with angles of 90.00, 90.00 and 90.00 degrees. The asymmetric unit holds Nb at (0.0000, 0.0000, 0.0000), Fe at (0.0000, 0.5000, 0.5000) and B at (0.5000, 0.5000, 0.5000).

***

(2)
NbFe3B | PBE-GGA | optimized geometry

The density of states at the Fermi level is 6.95 states/eV per cell.

The space group is Pm-3m (No. 221) and the conventional cell measures 4.4989, 4.4989 and 4.4989 Å, with angles of 90.00, 90.00 and 90.00 degrees. The asymmetric unit holds Nb at (0.0000, 0.0000, 0.0000), Fe at (0.0000, 0.0000, 0.5000) and B at (0.5000, 0.5000, 0.5000).

***

Relative energies, unit eV/atom: (1) 0.000; (2) 2.480

***

(1)
Nb2FeB2 | PBE-GGA | optimized geometry

The density of states at the Fermi level is 5.71 states/eV per cell.

The space group is P4/mbm (No. 127) and the conventional cell measures 5.7585, 5.7585 and 3.4132 Å, with angles of 90.00, 90.00 and 90.00 degrees. The asymmetric unit holds Nb at (0.1795, 0.3205, 0.0000), Fe at (0.0000, 0.0000, 0.5000) and B at (0.1147, 0.6147, 0.5000).

***

(2)
Nb2FeB2 | PBE-GGA | optimized geometry

The density of states at the Fermi level is 6.73 states/eV per cell.

The space group is Immm (No. 71) and the conventional cell measures 3.2450, 4.7561 and 7.3553 Å, with angles of 90.00, 90.00 and 90.00 degrees. The asymmetric unit holds Nb at (0.0000, 0.0000, 0.2094), Fe at (0.0000, 0.5000, 0.0000) and B at (0.0000, 0.3056, 0.5000).

***

Relative energies, unit eV/atom: (1) 0.023; (2) 0.000

***

(1)
NdFeB | PBE-GGA | optimized geometry

The density of states at the Fermi level is 2.13 states/eV per cell.

The space group is P-6m2 (No. 187) and the conventional cell measures 3.5840, 3.5840 and 4.2340 Å, with angles of 90.00, 90.00 and 120.00 degrees. The asymmetric unit holds Nd at (0.0000, 0.0000, 0.0000), Fe at (0.6667, 0.3333, 0.5000) and B at (0.3333, 0.6667, 0.5000).

***

(2)
NdFeB | PBE-GGA | optimized geometry

The density of states at the Fermi level is 7.16 states/eV per cell.

The space group is P4/nmm (No. 129, origin choice 2) and the conventional cell measures 3.6089, 3.6089 and 8.1089 Å, with angles of 90.00, 90.00 and 90.00 degrees. The asymmetric unit holds Nd at (0.2500, 0.2500, 0.2061), Fe at (0.2500, 0.7500, 0.5000) and B at (0.2500, 0.2500, 0.6125).

***

Relative energies, unit eV/atom: (1) 0.236; (2) 0.000

***

(1)
NpFeB2 | PBE-GGA | optimized geometry

The density of states at the Fermi level is 19.62 states/eV per cell.

The space group is R-3m (No. 166, hexagonal axes) and the conventional cell measures 3.4502, 3.4502 and 13.5713 Å, with angles of 90.00, 90.00 and 120.00 degrees. The asymmetric unit holds Np at (0.0000, 0.0000, 0.0000), Fe at (0.0000, 0.0000, 0.5000) and B at (0.0000, 0.0000, 0.1987).

***

(2)
NpFeB2 | PBE-GGA | optimized geometry

The density of states at the Fermi level is 19.16 states/eV per cell.

The space group is Pnma (No. 62) and the conventional cell measures 5.7224, 5.2157 and 5.9487 Å, with angles of 90.00, 90.00 and 90.00 degrees. The asymmetric unit holds Np at (0.0114, 0.2500, 0.1442), Fe at (0.1924, 0.7500, 0.3350) and B at (0.1260, 0.0847, 0.5502).

***

Relative energies, unit eV/atom: (1) 0.291; (2) 0.000